a | DFT (PBE-GGA) results for crystalline Mg2VH6 at its relaxed geometry.

abc: 4.7640 4.7640 4.7640
angles: 60.00 60.00 60.00
Closest atoms and distances in Å follow each position.
Positions (direct):
Mg (0.2500, 0.2500, 0.2500)  12 H 2.38
Mg (0.7500, 0.7500, 0.7500)  12 H 2.38
V (0.0000, 0.0000, 0.0000)  6 H 1.74
H (0.2580, 0.2580, 0.7420)  1 V 1.74
H (0.2580, 0.7420, 0.2580)  1 V 1.74
H (0.2580, 0.7420, 0.7420)  1 V 1.74
H (0.7420, 0.2580, 0.2580)  1 V 1.74
H (0.7420, 0.2580, 0.7420)  1 V 1.74
H (0.7420, 0.7420, 0.2580)  1 V 1.74

Computed properties:
Symmetry: Fm-3m
Density of states at the Fermi level in states/eV/atom: 0.357
Mass density in g/cm³: 2.3

b | DFT (PBE-GGA) results for crystalline Mg2VH6 at its relaxed geometry.

abc: 5.4858 5.4858 5.4858
angles: 146.63 131.08 60.51
Closest atoms and distances in Å follow each position.
Positions (direct):
Mg (0.1618, 0.1618, 0.0000)  8 H 1.99-2.02
Mg (0.8382, 0.8382, 0.0000)  8 H 1.99-2.02
V (0.5000, 0.5000, 0.0000)  8 H 1.83-1.86
H (0.1095, 0.3434, 0.7660)  1 V 1.83, 3 Mg 1.99-2.02
H (0.2827, 0.0000, 0.2827)  2 V 1.86, 1 H 1.97, 2 Mg 2.00
H (0.4226, 0.6566, 0.7660)  1 V 1.83, 3 Mg 1.99-2.02
H (0.5774, 0.3434, 0.2340)  1 V 1.83, 3 Mg 1.99-2.02
H (0.7173, 0.0000, 0.7173)  2 V 1.86, 1 H 1.97, 2 Mg 2.00
H (0.8905, 0.6566, 0.2340)  1 V 1.83, 3 Mg 1.99-2.02

Computed properties:
Symmetry: Immm
Density of states at the Fermi level in states/eV/atom: 0.179
Mass density in g/cm³: 2.6

Structures ranked by computed energy, the most stable listed first: b, a.

a | DFT (PBE-GGA) results for crystalline Mg2VH at its relaxed geometry.

abc: 5.6704 5.6704 5.6704
angles: 116.30 116.30 96.53
Closest atoms and distances in Å follow each position.
Positions (direct):
Mg (0.3750, 0.0188, 0.1438)  2 H 1.88
Mg (0.7688, 0.6250, 0.6438)  2 H 1.88
Mg (0.8750, 0.2312, 0.8562)  2 H 1.88
Mg (0.9812, 0.1250, 0.3562)  2 H 1.88
V (0.2500, 0.7500, 0.5000)  8 Mg 2.95-3.26
V (0.5000, 0.5000, 0.0000)  8 Mg 2.95-3.26
H (0.0000, 0.0000, 0.0000)  4 Mg 1.88
H (0.7500, 0.2500, 0.5000)  4 Mg 1.88

Computed properties:
Symmetry: I-42d
Density of states at the Fermi level in states/eV/atom: 1.059
Mass density in g/cm³: 2.5

b | DFT (PBE-GGA) results for crystalline Mg2VH at its relaxed geometry.

abc: 4.6688 4.6688 4.6688
angles: 60.00 60.00 60.00
Closest atoms and distances in Å follow each position.
Positions (direct):
Mg (0.2500, 0.2500, 0.2500)  4 H 2.86, 4 V 2.86
Mg (0.7500, 0.7500, 0.7500)  4 H 2.86, 4 V 2.86
V (0.0000, 0.0000, 0.0000)  8 Mg 2.86
H (0.5000, 0.5000, 0.5000)  8 Mg 2.86

Computed properties:
Symmetry: Fm-3m
Density of states at the Fermi level in states/eV/atom: 0.940
Mass density in g/cm³: 2.3

Structures ranked by computed energy, the most stable listed first: a, b.

a | DFT (PBE-GGA) results for crystalline MgHW at its relaxed geometry.

abc: 2.9638 2.9638 4.8469
angles: 90.00 90.00 120.00
Closest atoms and distances in Å follow each position.
Positions (direct):
Mg (0.0000, 0.0000, 0.0000)  3 H 2.37
H (0.6667, 0.3333, 0.6614)  3 W 1.92
W (0.3333, 0.6667, 0.4836)  3 H 1.92

Computed properties:
Symmetry: P3m1
Density of states at the Fermi level in states/eV/atom: 0.420
Mass density in g/cm³: 9.4

b | DFT (PBE-GGA) results for crystalline MgHW at its relaxed geometry.

abc: 3.2617 3.2617 7.2903
angles: 90.00 90.00 90.00
Closest atoms and distances in Å follow each position.
Positions (direct):
Mg (0.0000, 0.5000, 0.1412)  2 H 1.90
Mg (0.5000, 0.0000, 0.8588)  2 H 1.90
H (0.0000, 0.0000, 0.2742)  2 W 1.87, 2 Mg 1.90
H (0.0000, 0.0000, 0.7258)  2 W 1.87, 2 Mg 1.90
W (0.0000, 0.5000, 0.5992)  2 H 1.87
W (0.5000, 0.0000, 0.4008)  2 H 1.87

Computed properties:
Symmetry: P-4m2
Density of states at the Fermi level in states/eV/atom: 0.186
Mass density in g/cm³: 9.0

c | DFT (PBE-GGA) results for crystalline MgHW at its relaxed geometry.

abc: 3.2317 3.3483 7.0727
angles: 90.00 90.00 90.00
Closest atoms and distances in Å follow each position.
Positions (direct):
Mg (0.0000, 0.0000, 0.0000)  4 H 2.33
Mg (0.5000, 0.5000, 0.3094)  3 H 1.89-2.00
H (0.5000, 0.0000, 0.4327)  2 W 1.87, 2 Mg 1.89
H (0.5000, 0.5000, 0.0270)  1 W 1.85, 1 Mg 2.00
W (0.0000, 0.0000, 0.5666)  2 H 1.87
W (0.5000, 0.5000, 0.7661)  1 H 1.85

Computed properties:
Symmetry: Pmm2
Density of states at the Fermi level in states/eV/atom: 0.395
Mass density in g/cm³: 9.1

Structures ranked by computed energy, the most stable listed first: c, b, a.